VASP calculation (PBE) on a geometry-optimized PmTh2Pb3 structure.

CIF file:
```
data_PmTh2Pb3
_chemical_formula_sum 'Pm1 Th2 Pb3'
_cell_length_a 4.556
_cell_length_b 6.477
_cell_length_c 7.928
_cell_angle_alpha 114.11
_cell_angle_beta 106.70
_cell_angle_gamma 90.00
_space_group_name_H-M_alt 'P 1'
_space_group_IT_number 1
loop_
_space_group_symop_operation_xyz
'x,y,z'
loop_
_atom_site_label
_atom_site_type_symbol
_atom_site_fract_x
_atom_site_fract_y
_atom_site_fract_z
_atom_site_occupancy
Pm1 Pm 0.000 0.500 0.000 1
Th1 Th 0.667 0.167 0.334 1
Th2 Th 0.333 0.833 0.666 1
Pb1 Pb 0.334 0.334 0.668 1
Pb2 Pb 0.000 0.000 0.000 1
Pb3 Pb 0.666 0.666 0.332 1
```

## Properties
Formation energy, meV per atom: -321
M_tot, Bohr magnetons per cell: 0.000
Total energy, eV per atom: -5.44

VASP calculation (PBE) on a geometry-optimized Dy2ErRu3 structure.

CIF file:
```
data_Dy2ErRu3
_chemical_formula_sum 'Dy2 Er1 Ru3'
_cell_length_a 4.789
_cell_length_b 4.789
_cell_length_c 5.876
_cell_angle_alpha 90.00
_cell_angle_beta 90.00
_cell_angle_gamma 120.00
_space_group_name_H-M_alt 'P 1'
_space_group_IT_number 1
loop_
_space_group_symop_operation_xyz
'x,y,z'
loop_
_atom_site_label
_atom_site_type_symbol
_atom_site_fract_x
_atom_site_fract_y
_atom_site_fract_z
_atom_site_occupancy
Dy1 Dy 0.667 0.333 0.332 1
Dy2 Dy 0.333 0.667 0.668 1
Er1 Er 0.000 0.000 0.000 1
Ru1 Ru 0.000 0.000 0.500 1
Ru2 Ru 0.667 0.333 0.834 1
Ru3 Ru 0.333 0.667 0.166 1
```

## Properties
Formation energy, meV per atom: -336
E above lowest polymorph, meV per atom: 6
M_tot, Bohr magnetons per cell: 0.000
Total energy, eV per atom: -7.27

VASP calculation (PBE) on a geometry-optimized Ag2HgW structure.

CIF file:
```
data_Ag2HgW
_chemical_formula_sum 'Ag2 Hg1 W1'
_cell_length_a 4.975
_cell_length_b 4.975
_cell_length_c 4.975
_cell_angle_alpha 128.82
_cell_angle_beta 128.82
_cell_angle_gamma 75.30
_space_group_name_H-M_alt 'P 1'
_space_group_IT_number 1
loop_
_space_group_symop_operation_xyz
'x,y,z'
loop_
_atom_site_label
_atom_site_type_symbol
_atom_site_fract_x
_atom_site_fract_y
_atom_site_fract_z
_atom_site_occupancy
Ag1 Ag 0.000 0.000 0.000 1
Ag2 Ag 0.250 0.750 0.500 1
Hg1 Hg 0.500 0.500 0.000 1
W1 W 0.750 0.250 0.500 1
```

## Properties
Formation energy, meV per atom: 870
M_tot, Bohr magnetons per cell: 1.549
Total energy, eV per atom: -3.87

VASP calculation (PBE) on a geometry-optimized MgAs structure.

CIF file:
```
data_MgAs
_chemical_formula_sum 'Mg4 As4'
_cell_length_a 6.086
_cell_length_b 6.086
_cell_length_c 6.086
_cell_angle_alpha 90.00
_cell_angle_beta 90.00
_cell_angle_gamma 90.00
_space_group_name_H-M_alt 'P 1'
_space_group_IT_number 1
loop_
_space_group_symop_operation_xyz
'x,y,z'
loop_
_atom_site_label
_atom_site_type_symbol
_atom_site_fract_x
_atom_site_fract_y
_atom_site_fract_z
_atom_site_occupancy
Mg1 Mg 0.250 0.250 0.250 1
Mg2 Mg 0.250 0.750 0.750 1
Mg3 Mg 0.750 0.250 0.750 1
Mg4 Mg 0.750 0.750 0.250 1
As1 As 0.000 0.000 0.000 1
As2 As 0.000 0.500 0.500 1
As3 As 0.500 0.000 0.500 1
As4 As 0.500 0.500 0.000 1
```

## Properties
Formation energy, meV per atom: -32
E above lowest polymorph, meV per atom: 385
M_tot, Bohr magnetons per cell: 0.008
Total energy, eV per atom: -3.15

VASP calculation (PBE) on a geometry-optimized Er3Al12Ru4 structure.

CIF file:
```
data_Er3Al12Ru4
_chemical_formula_sum 'Er6 Al24 Ru8'
_cell_length_a 8.765
_cell_length_b 8.765
_cell_length_c 9.577
_cell_angle_alpha 90.00
_cell_angle_beta 90.00
_cell_angle_gamma 120.00
_space_group_name_H-M_alt 'P 1'
_space_group_IT_number 1
loop_
_space_group_symop_operation_xyz
'x,y,z'
loop_
_atom_site_label
_atom_site_type_symbol
_atom_site_fract_x
_atom_site_fract_y
_atom_site_fract_z
_atom_site_occupancy
Er1 Er 0.194 0.388 0.250 1
Er2 Er 0.806 0.612 0.750 1
Er3 Er 0.612 0.806 0.250 1
Er4 Er 0.388 0.194 0.750 1
Er5 Er 0.194 0.806 0.250 1
Er6 Er 0.806 0.194 0.750 1
Al1 Al 0.333 0.667 0.018 1
Al2 Al 0.667 0.333 0.982 1
Al3 Al 0.667 0.333 0.518 1
Al4 Al 0.333 0.667 0.482 1
Al5 Al 0.163 0.325 0.578 1
Al6 Al 0.837 0.675 0.422 1
Al7 Al 0.675 0.837 0.578 1
Al8 Al 0.837 0.675 0.078 1
Al9 Al 0.325 0.163 0.422 1
Al10 Al 0.163 0.325 0.922 1
Al11 Al 0.163 0.837 0.578 1
Al12 Al 0.325 0.163 0.078 1
Al13 Al 0.837 0.163 0.422 1
Al14 Al 0.675 0.837 0.922 1
Al15 Al 0.837 0.163 0.078 1
Al16 Al 0.163 0.837 0.922 1
Al17 Al 0.562 0.123 0.250 1
Al18 Al 0.438 0.877 0.750 1
Al19 Al 0.877 0.438 0.250 1
Al20 Al 0.123 0.562 0.750 1
Al21 Al 0.562 0.438 0.250 1
Al22 Al 0.438 0.562 0.750 1
Al23 Al 0.000 0.000 0.250 1
Al24 Al 0.000 0.000 0.750 1
Ru1 Ru 0.500 0.000 0.000 1
Ru2 Ru 0.000 0.500 0.000 1
Ru3 Ru 0.500 0.000 0.500 1
Ru4 Ru 0.500 0.500 0.000 1
Ru5 Ru 0.000 0.500 0.500 1
Ru6 Ru 0.500 0.500 0.500 1
Ru7 Ru 0.000 0.000 0.000 1
Ru8 Ru 0.000 0.000 0.500 1
```

## Properties
Formation energy, meV per atom: -663
M_tot, Bohr magnetons per cell: 0.000
Total energy, eV per atom: -5.70

VASP calculation (PBE) on a geometry-optimized Na2PaBe2O6 structure.

CIF file:
```
data_Na2PaBe2O6
_chemical_formula_sum 'Na2 Pa1 Be2 O6'
_cell_length_a 5.412
_cell_length_b 5.412
_cell_length_c 6.051
_cell_angle_alpha 90.00
_cell_angle_beta 90.00
_cell_angle_gamma 120.00
_space_group_name_H-M_alt 'P 1'
_space_group_IT_number 1
loop_
_space_group_symop_operation_xyz
'x,y,z'
loop_
_atom_site_label
_atom_site_type_symbol
_atom_site_fract_x
_atom_site_fract_y
_atom_site_fract_z
_atom_site_occupancy
Na1 Na 0.333 0.667 0.357 1
Na2 Na 0.667 0.333 0.643 1
Pa1 Pa 0.000 0.000 0.000 1
Be1 Be 0.333 0.667 0.816 1
Be2 Be 0.667 0.333 0.184 1
O1 O 0.285 0.362 0.795 1
O2 O 0.077 0.715 0.795 1
O3 O 0.638 0.923 0.795 1
O4 O 0.715 0.638 0.205 1
O5 O 0.923 0.285 0.205 1
O6 O 0.362 0.077 0.205 1
```

## Properties
M_tot, Bohr magnetons per cell: 1.033
Total energy, eV per atom: -6.90
Uncorrected formation energy, meV per atom: -2411.8

VASP calculation (PBE) on a geometry-optimized TlAgMo2 structure.

CIF file:
```
data_TlAgMo2
_chemical_formula_sum 'Tl2 Ag2 Mo4'
_cell_length_a 7.597
_cell_length_b 7.597
_cell_length_c 6.015
_cell_angle_alpha 50.84
_cell_angle_beta 50.84
_cell_angle_gamma 90.00
_space_group_name_H-M_alt 'P 1'
_space_group_IT_number 1
loop_
_space_group_symop_operation_xyz
'x,y,z'
loop_
_atom_site_label
_atom_site_type_symbol
_atom_site_fract_x
_atom_site_fract_y
_atom_site_fract_z
_atom_site_occupancy
Tl1 Tl 0.000 0.000 0.000 1
Tl2 Tl 0.750 0.250 0.500 1
Mo1 Mo 0.618 0.125 0.250 1
Mo2 Mo 0.132 0.625 0.250 1
Mo3 Mo 0.375 0.382 0.750 1
Mo4 Mo 0.875 0.868 0.750 1
Ag1 Ag 0.500 0.500 0.000 1
Ag2 Ag 0.250 0.750 0.500 1
```

## Properties
Formation energy, meV per atom: 1221
E above lowest polymorph, meV per atom: 780
M_tot, Bohr magnetons per cell: 0.000
Total energy, eV per atom: -5.50

VASP calculation (PBE) on a geometry-optimized LiAcC structure.

CIF file:
```
data_LiAcC
_chemical_formula_sum 'Li4 Ac4 C4'
_cell_length_a 4.075
_cell_length_b 6.094
_cell_length_c 9.617
_cell_angle_alpha 90.00
_cell_angle_beta 90.00
_cell_angle_gamma 90.00
_space_group_name_H-M_alt 'P 1'
_space_group_IT_number 1
loop_
_space_group_symop_operation_xyz
'x,y,z'
loop_
_atom_site_label
_atom_site_type_symbol
_atom_site_fract_x
_atom_site_fract_y
_atom_site_fract_z
_atom_site_occupancy
Ac1 Ac 0.750 0.020 0.664 1
Ac2 Ac 0.250 0.520 0.836 1
Ac3 Ac 0.250 0.980 0.336 1
Ac4 Ac 0.750 0.480 0.164 1
C1 C 0.750 0.249 0.416 1
C2 C 0.250 0.749 0.084 1
C3 C 0.250 0.751 0.584 1
C4 C 0.750 0.251 0.916 1
Li1 Li 0.750 0.576 0.526 1
Li2 Li 0.250 0.076 0.974 1
Li3 Li 0.250 0.424 0.474 1
Li4 Li 0.750 0.924 0.026 1
```

## Properties
Formation energy, meV per atom: 236
M_tot, Bohr magnetons per cell: 0.000
Total energy, eV per atom: -4.85